Record 1
# HgIr2N PBEsol relaxed
data_HgIr2N
_chemical_formula_sum 'Hg4 Ir8 N4'
_cell_length_a 6.332
_cell_length_b 6.332
_cell_length_c 6.023
_cell_angle_alpha 90.00
_cell_angle_beta 90.00
_cell_angle_gamma 90.00
_symmetry_space_group_name_H-M 'I -4 2 d'
_symmetry_Int_Tables_number 122
_symmetry_space_group_name_Hall 'I -4 2bw'
loop_
_atom_site_label
_atom_site_type_symbol
_atom_site_fract_x
_atom_site_fract_y
_atom_site_fract_z
Hg1 Hg 0.000 0.000 0.000
Ir1 Ir 0.126 0.750 0.625
N1 N 0.000 0.000 0.500
# - V (Å³ per cell) = 241.5
# - raw formation energy (eV/atom) = 0.51
# - Fermi-level density of states (states/eV/atom) = 0.4610
# - uncorrected energy (eV/cell) = -106.8



Record 2
# HgIr3N PBEsol relaxed
data_HgIr3N
_chemical_formula_sum 'Hg1 Ir3 N1'
_cell_length_a 4.932
_cell_length_b 4.932
_cell_length_c 4.932
_cell_angle_alpha 90.00
_cell_angle_beta 90.00
_cell_angle_gamma 90.00
_symmetry_space_group_name_H-M 'P m -3 m'
_symmetry_Int_Tables_number 221
_symmetry_space_group_name_Hall '-P 4 2 3'
loop_
_atom_site_label
_atom_site_type_symbol
_atom_site_fract_x
_atom_site_fract_y
_atom_site_fract_z
Hg1 Hg 0.000 0.000 0.000
Ir1 Ir 0.000 0.000 0.500
N1 N 0.500 0.500 0.500
# - V (Å³ per cell) = 120.0
# - raw formation energy (eV/atom) = 3.86
# - Fermi-level density of states (states/eV/atom) = 1.8653
# - uncorrected energy (eV/cell) = -19.3



Record 3
# Na3HgIr PBEsol relaxed
data_Na3HgIr
_chemical_formula_sum 'Na3 Hg1 Ir1'
_cell_length_a 5.374
_cell_length_b 5.374
_cell_length_c 5.374
_cell_angle_alpha 90.00
_cell_angle_beta 90.00
_cell_angle_gamma 90.00
_symmetry_space_group_name_H-M 'P m -3 m'
_symmetry_Int_Tables_number 221
_symmetry_space_group_name_Hall '-P 4 2 3'
loop_
_atom_site_label
_atom_site_type_symbol
_atom_site_fract_x
_atom_site_fract_y
_atom_site_fract_z
Na1 Na 0.000 0.000 0.500
Hg1 Hg 0.500 0.500 0.500
Ir1 Ir 0.000 0.000 0.000
# - V (Å³ per cell) = 155.2
# - Fermi-level density of states (states/eV/atom) = 1.4639
# - energy of formation (kJ per mole of atoms) = 71
# - uncorrected energy (eV/cell) = -10.9



Record 4
# Nb2Hg2Ir PBEsol relaxed
data_Nb2Hg2Ir
_chemical_formula_sum 'Nb4 Hg4 Ir2'
_cell_length_a 3.722
_cell_length_b 3.722
_cell_length_c 14.492
_cell_angle_alpha 90.00
_cell_angle_beta 90.00
_cell_angle_gamma 90.00
_symmetry_space_group_name_H-M 'I 4/m m m'
_symmetry_Int_Tables_number 139
_symmetry_space_group_name_Hall '-I 4 2'
loop_
_atom_site_label
_atom_site_type_symbol
_atom_site_fract_x
_atom_site_fract_y
_atom_site_fract_z
Nb1 Nb 0.000 0.000 0.081
Hg1 Hg 0.000 0.500 0.250
Ir1 Ir 0.000 0.000 0.500
# - V (Å³ per cell) = 200.7
# - Fermi-level density of states (states/eV/atom) = 0.8925
# - energy of formation (kJ per mole of atoms) = 58
# - uncorrected energy (eV/cell) = -59.2



> Which value of V does entry 1 give?

241.5 Å³ per cell



Copy entry 3 word for word.
# Na3HgIr PBEsol relaxed
data_Na3HgIr
_chemical_formula_sum 'Na3 Hg1 Ir1'
_cell_length_a 5.374
_cell_length_b 5.374
_cell_length_c 5.374
_cell_angle_alpha 90.00
_cell_angle_beta 90.00
_cell_angle_gamma 90.00
_symmetry_space_group_name_H-M 'P m -3 m'
_symmetry_Int_Tables_number 221
_symmetry_space_group_name_Hall '-P 4 2 3'
loop_
_atom_site_label
_atom_site_type_symbol
_atom_site_fract_x
_atom_site_fract_y
_atom_site_fract_z
Na1 Na 0.000 0.000 0.500
Hg1 Hg 0.500 0.500 0.500
Ir1 Ir 0.000 0.000 0.000
# - V (Å³ per cell) = 155.2
# - Fermi-level density of states (states/eV/atom) = 1.4639
# - energy of formation (kJ per mole of atoms) = 71
# - uncorrected energy (eV/cell) = -10.9



What did the second record say?
# HgIr3N PBEsol relaxed
data_HgIr3N
_chemical_formula_sum 'Hg1 Ir3 N1'
_cell_length_a 4.932
_cell_length_b 4.932
_cell_length_c 4.932
_cell_angle_alpha 90.00
_cell_angle_beta 90.00
_cell_angle_gamma 90.00
_symmetry_space_group_name_H-M 'P m -3 m'
_symmetry_Int_Tables_number 221
_symmetry_space_group_name_Hall '-P 4 2 3'
loop_
_atom_site_label
_atom_site_type_symbol
_atom_site_fract_x
_atom_site_fract_y
_atom_site_fract_z
Hg1 Hg 0.000 0.000 0.000
Ir1 Ir 0.000 0.000 0.500
N1 N 0.500 0.500 0.500
# - V (Å³ per cell) = 120.0
# - raw formation energy (eV/atom) = 3.86
# - Fermi-level density of states (states/eV/atom) = 1.8653
# - uncorrected energy (eV/cell) = -19.3



> Among the records above, which one has the highest Fermi-level density of states?

HgIr3N